(1)
Here is crystalline Dy3Y4ScSe8 at its relaxed geometry from the Alexandria database. Energies are from PBE.

Calculated values
Raw formation energy (meV/atom): -1727
SG: R-3m, No. 166
Total magnetic moment (μB per formula unit): 0.000

a b c (Å): 8.1260 8.1260 8.1260
angles (deg): 59.92 59.92 59.92
Element x y z (fractional)
Dy (0.0000, 0.5000, 0.5000)
Dy (0.5000, 0.0000, 0.5000)
Dy (0.5000, 0.5000, 0.0000)
Y (0.0000, 0.0000, 0.5000)
Y (0.0000, 0.5000, 0.0000)
Y (0.5000, 0.0000, 0.0000)
Y (0.5000, 0.5000, 0.5000)
Sc (0.0000, 0.0000, 0.0000)
Se (0.2445, 0.2445, 0.7547)
Se (0.2445, 0.7547, 0.2445)
Se (0.2453, 0.7555, 0.7555)
Se (0.2504, 0.2504, 0.2504)
Se (0.7496, 0.7496, 0.7496)
Se (0.7547, 0.2445, 0.2445)
Se (0.7555, 0.2453, 0.7555)
Se (0.7555, 0.7555, 0.2453)

---

(2)
Here is crystalline Li5TlAg6 at its relaxed geometry from the Alexandria database. Energies are from PBE.

Calculated values
SG: P2/m, No. 10
Energy of formation from the pure elements (eV per atom): -0.1652
Total magnetic moment (μB per formula unit): 0.000
Energy above the lowest structure with this stoichiometry (meV per atom): 7

a b c (Å): 4.7185 6.2193 7.1553
angles (deg): 90.00 100.75 90.00
Element x y z (fractional)
Li (0.0000, 0.0000, 0.0000)
Li (0.3074, 0.0000, 0.6718)
Li (0.3092, 0.5000, 0.6742)
Li (0.6908, 0.5000, 0.3258)
Li (0.6926, 0.0000, 0.3282)
Tl (0.0000, 0.5000, 0.0000)
Ag (0.2062, 0.2424, 0.3548)
Ag (0.2062, 0.7576, 0.3548)
Ag (0.5000, 0.2289, 0.0000)
Ag (0.5000, 0.7711, 0.0000)
Ag (0.7938, 0.2424, 0.6452)
Ag (0.7938, 0.7576, 0.6452)

---

(3)
Here is crystalline HfTaVSe2 at its relaxed geometry from the Alexandria database. Energies are from PBE.

Calculated values
Raw formation energy (meV/atom): 570
SG: P4/mmm, No. 123
Total magnetic moment (μB per formula unit): 0.000

a b c (Å): 4.7344 4.7344 4.6301
angles (deg): 90.00 90.00 90.00
Element x y z (fractional)
Hf (0.0000, 0.0000, 0.0000)
Ta (0.5000, 0.5000, 0.0000)
V (0.5000, 0.5000, 0.5000)
Se (0.0000, 0.5000, 0.5000)
Se (0.5000, 0.0000, 0.5000)

---

(4)
Here is crystalline BaNpTe3 at its relaxed geometry from the Alexandria database. Energies are from PBE.

Calculated values
Raw formation energy (meV/atom): -942
SG: Cmmm, No. 65
Total magnetic moment (μB per formula unit): 2.995
Energy above the lowest structure with this stoichiometry (meV per atom): 118

a b c (Å): 9.5263 9.5263 5.8953
angles (deg): 90.00 90.00 131.11
Element x y z (fractional)
Ba (0.1620, 0.8380, 0.0000)
Ba (0.8380, 0.1620, 0.0000)
Np (0.3799, 0.6201, 0.5000)
Np (0.6201, 0.3799, 0.5000)
Te (0.0000, 0.5000, 0.5000)
Te (0.2260, 0.2260, 0.5000)
Te (0.3666, 0.6334, 0.0000)
Te (0.5000, 0.0000, 0.5000)
Te (0.6334, 0.3666, 0.0000)
Te (0.7740, 0.7740, 0.5000)

---

(5)
Here is crystalline Sr4SeCl at its relaxed geometry from the Alexandria database. Energies are from PBE.

Calculated values
Raw formation energy (meV/atom): -148
SG: F-43m, No. 216
Total magnetic moment (μB per formula unit): 0.000

a b c (Å): 7.2525 7.2525 7.2525
angles (deg): 60.00 60.00 60.00
Element x y z (fractional)
Sr (0.3758, 0.3758, 0.3758)
Sr (0.3758, 0.3758, 0.8727)
Sr (0.3758, 0.8727, 0.3758)
Sr (0.8727, 0.3758, 0.3758)
Se (0.7500, 0.7500, 0.7500)
Cl (0.0000, 0.0000, 0.0000)

---

(6)
Here is crystalline Nd2InSn at its relaxed geometry from the Alexandria database. Energies are from PBE.

Calculated values
SG: P4/mmm, No. 123
Energy of formation from the pure elements (eV per atom): -0.5928
Total magnetic moment (μB per formula unit): 0.000

a b c (Å): 5.0759 5.0759 4.4692
angles (deg): 90.00 90.00 90.00
Element x y z (fractional)
Nd (0.0000, 0.5000, 0.0000)
Nd (0.5000, 0.0000, 0.0000)
In (0.0000, 0.0000, 0.5000)
Sn (0.5000, 0.5000, 0.5000)

---

(7)
Here is crystalline Ti2BiN at its relaxed geometry from the Alexandria database. Energies are from PBE.

Calculated values
Raw formation energy (meV/atom): 552
SG: Fm-3m, No. 225
Total magnetic moment (μB per formula unit): 1.004
Energy above the lowest structure with this stoichiometry (meV per atom): 1420

a b c (Å): 4.5257 4.5257 4.5257
angles (deg): 60.00 60.00 60.00
Element x y z (fractional)
Ti (0.2500, 0.2500, 0.2500)
Ti (0.7500, 0.7500, 0.7500)
Bi (0.0000, 0.0000, 0.0000)
N (0.5000, 0.5000, 0.5000)

---

(8)
Here is crystalline Mn2TcHg at its relaxed geometry from the Alexandria database. Energies are from PBE.

Calculated values
SG: I4/mmm, No. 139
Energy of formation from the pure elements (eV per atom): 0.4210
Total magnetic moment (μB per formula unit): 5.983

a b c (Å): 4.6676 4.6676 4.6676
angles (deg): 127.70 127.70 77.11
Element x y z (fractional)
Mn (0.2500, 0.7500, 0.5000)
Mn (0.7500, 0.2500, 0.5000)
Tc (0.0000, 0.0000, 0.0000)
Hg (0.5000, 0.5000, 0.0000)